Record 1
! YLuTe3 (PBE, optimized geometry); values from VASP
! SG: P2_1/c, No. 14
! Raw formation energy in meV per atom: -1227
! Energy relative to the lowest polymorph listed for this composition in eV/atom: 0.164
&SYSTEM
  ibrav = 0, nat = 20, ntyp = 3
/
ATOMIC_SPECIES
Y 88.91 Y.upf
Lu 174.97 Lu.upf
Te 127.60 Te.upf
CELL_PARAMETERS angstrom
9.637 0.000 0.000
0.000 8.096 0.000
-2.420 0.000 9.303
ATOMIC_POSITIONS angstrom
Y 0.712 1.775 0.036
Y -0.498 2.273 4.688
Y 7.715 5.823 4.615
Y 6.504 6.321 9.267
Lu 0.936 5.008 8.233
Lu 2.146 7.136 3.582
Lu 5.071 0.960 5.721
Lu 6.281 3.088 1.070
Te -1.845 4.139 7.380
Te -0.635 8.004 2.729
Te 1.079 4.948 5.209
Te 2.289 7.196 0.558
Te 2.142 1.118 5.635
Te 3.352 2.930 0.984
Te 3.864 5.166 8.319
Te 5.075 6.978 3.668
Te 4.927 0.900 8.745
Te 6.137 3.148 4.094
Te 7.852 0.091 6.574
Te 9.062 3.957 1.923



Record 2
! Pm3Cu2Pt4 (PBE, optimized geometry); values from VASP
! SG: C2/m, No. 12
! Total energy in eV/cell: -54.17
&SYSTEM
  ibrav = 0, nat = 9, ntyp = 3
/
ATOMIC_SPECIES
Pm 145.00 Pm.upf
Cu 63.55 Cu.upf
Pt 195.08 Pt.upf
CELL_PARAMETERS angstrom
5.293 -2.220 0.000
5.293 2.220 0.000
-3.077 0.000 7.929
ATOMIC_POSITIONS angstrom
Pm 0.000 0.000 0.000
Pm 2.864 0.000 2.440
Pm 4.646 0.000 5.489
Cu 1.474 0.000 5.212
Cu 6.036 0.000 2.717
Pt -0.384 0.000 3.185
Pt 0.178 0.000 7.388
Pt 7.332 0.000 0.541
Pt 7.894 0.000 4.744



Record 3
! Tm4Zn5Co2 (PBE, optimized geometry); values from VASP
! SG: P2/m, No. 10
! Total energy in eV/cell: -41.67
&SYSTEM
  ibrav = 0, nat = 11, ntyp = 3
/
ATOMIC_SPECIES
Tm 168.93 Tm.upf
Zn 65.41 Zn.upf
Co 58.93 Co.upf
CELL_PARAMETERS angstrom
6.877 0.000 0.000
0.000 3.637 0.000
-0.778 0.000 8.600
ATOMIC_POSITIONS angstrom
Tm 0.904 0.000 3.040
Tm 0.903 0.000 8.087
Tm 5.196 0.000 0.513
Tm 5.195 0.000 5.560
Zn 0.792 1.819 5.637
Zn 2.884 1.819 1.609
Zn 3.050 1.819 4.300
Zn 3.215 1.819 6.991
Zn 5.307 1.819 2.963
Co 0.336 1.819 1.162
Co 5.763 1.819 7.438



Record 4
! PmZr2Ag (PBE, optimized geometry); values from VASP
! SG: R-3m, No. 166
! Total energy in eV/cell: -23.38
&SYSTEM
  ibrav = 0, nat = 4, ntyp = 3
/
ATOMIC_SPECIES
Pm 145.00 Pm.upf
Zr 91.22 Zr.upf
Ag 107.87 Ag.upf
CELL_PARAMETERS angstrom
1.574 0.909 11.358
-1.574 0.909 11.358
0.000 -1.818 11.358
ATOMIC_POSITIONS angstrom
Pm 0.000 0.000 0.000
Zr 0.000 0.000 3.233
Zr 0.000 0.000 30.841
Ag 0.000 0.000 17.037



Record 5
! ZnRePb4 (PBE, optimized geometry); values from VASP
! SG: F-43m, No. 216
! Total energy in eV/cell: -21.51
&SYSTEM
  ibrav = 0, nat = 6, ntyp = 3
/
ATOMIC_SPECIES
Zn 65.41 Zn.upf
Re 186.21 Re.upf
Pb 207.20 Pb.upf
CELL_PARAMETERS angstrom
0.000 4.466 4.466
4.466 0.000 4.466
4.466 4.466 0.000
ATOMIC_POSITIONS angstrom
Zn 0.000 0.000 0.000
Re 2.233 2.233 2.233
Pb 5.577 3.354 3.354
Pb 3.354 5.577 3.354
Pb 3.354 3.354 5.577
Pb 5.577 5.577 5.577



Record 6
! AcFeGe2 (PBE, optimized geometry); values from VASP
! SG: Pnma, No. 62
! Energy relative to the lowest polymorph listed for this composition in eV/atom: 0.008
&SYSTEM
  ibrav = 0, nat = 16, ntyp = 3
/
ATOMIC_SPECIES
Ac 227.00 Ac.upf
Fe 55.84 Fe.upf
Ge 72.64 Ge.upf
CELL_PARAMETERS angstrom
7.219 0.000 0.000
0.000 4.448 0.000
0.000 0.000 10.727
ATOMIC_POSITIONS angstrom
Ac 1.216 1.112 1.308
Ac 2.394 3.336 6.671
Ac 4.825 1.112 4.055
Ac 6.003 3.336 9.418
Fe 0.122 3.336 4.025
Fe 3.487 1.112 9.389
Fe 3.732 3.336 1.338
Fe 7.096 1.112 6.701
Ge 1.041 1.112 4.583
Ge 1.113 1.112 8.715
Ge 2.496 3.336 3.352
Ge 2.568 3.336 9.947
Ge 4.650 1.112 0.780
Ge 4.723 1.112 7.375
Ge 6.105 3.336 2.012
Ge 6.178 3.336 6.143



Record 7
! Ca2Cd2Bi3 (PBE, optimized geometry); values from VASP
! SG: C2/m, No. 12
! Total energy in eV/cell: -41.38
&SYSTEM
  ibrav = 0, nat = 14, ntyp = 3
/
ATOMIC_SPECIES
Ca 40.08 Ca.upf
Cd 112.41 Cd.upf
Bi 208.98 Bi.upf
CELL_PARAMETERS angstrom
8.605 -2.424 0.000
8.605 2.424 0.000
-7.609 0.000 10.421
ATOMIC_POSITIONS angstrom
Ca -1.880 0.000 4.476
Ca -2.143 0.000 8.592
Ca 11.746 0.000 1.830
Ca 11.482 0.000 5.945
Cd 0.272 0.000 1.748
Cd 6.382 0.000 1.943
Cd 3.220 0.000 8.479
Cd 9.331 0.000 8.673
Bi -5.079 0.000 10.200
Bi 0.653 0.000 6.817
Bi 4.035 0.000 3.877
Bi 5.568 0.000 6.544
Bi 8.949 0.000 3.605
Bi 14.682 0.000 0.221



Record 8
! CsScMnCl6 (PBE, optimized geometry); values from VASP
! SG: P312, No. 149
! Raw formation energy in meV per atom: -1789
&SYSTEM
  ibrav = 0, nat = 9, ntyp = 4
/
ATOMIC_SPECIES
Cs 132.91 Cs.upf
Sc 44.96 Sc.upf
Mn 54.94 Mn.upf
Cl 35.45 Cl.upf
CELL_PARAMETERS angstrom
6.632 0.000 0.000
-3.316 5.744 0.000
0.000 0.000 7.810
ATOMIC_POSITIONS angstrom
Cs 0.000 0.000 0.000
Sc 0.000 3.829 3.905
Mn 3.316 1.915 3.905
Cl -1.238 2.191 5.353
Cl -2.038 3.576 2.456
Cl 1.238 2.191 2.456
Cl -0.800 5.721 5.353
Cl 2.038 3.576 5.353
Cl 0.800 5.721 2.456



Record 9
! Pm3Y2Ga4 (PBE, optimized geometry); values from VASP
! SG: Cmce, No. 64
! Total energy in eV/cell: -85.28
&SYSTEM
  ibrav = 0, nat = 18, ntyp = 3
/
ATOMIC_SPECIES
Pm 145.00 Pm.upf
Y 88.91 Y.upf
Ga 69.72 Ga.upf
CELL_PARAMETERS angstrom
3.583 -7.593 0.000
3.583 7.593 0.000
0.000 0.000 8.927
ATOMIC_POSITIONS angstrom
Pm 0.000 0.000 0.000
Pm 1.791 3.290 2.232
Pm 1.791 -3.290 6.696
Pm 3.583 0.000 4.464
Pm 5.374 3.290 2.232
Pm 5.374 -3.290 6.696
Y 3.583 5.987 3.851
Y 3.583 1.606 8.315
Y 3.583 -1.606 0.612
Y 3.583 -5.987 5.076
Ga 3.583 4.639 0.254
Ga 1.791 0.267 2.232
Ga 1.791 -0.267 6.696
Ga 3.583 2.954 4.718
Ga 3.583 -2.954 4.209
Ga 5.374 0.267 2.232
Ga 5.374 -0.267 6.696
Ga 3.583 -4.639 8.673



Record 10
! Na2Tl5Au3 (PBE, optimized geometry); values from VASP
! SG: Cmc2_1, No. 36
! Total energy in eV/cell: -51.54
&SYSTEM
  ibrav = 0, nat = 20, ntyp = 3
/
ATOMIC_SPECIES
Na 22.99 Na.upf
Tl 204.38 Tl.upf
Au 196.97 Au.upf
CELL_PARAMETERS angstrom
2.405 -15.118 0.000
2.405 15.118 0.000
0.000 0.000 7.243
ATOMIC_POSITIONS angstrom
Na 2.405 14.552 3.622
Na 2.405 4.895 4.218
Na 2.405 -4.895 0.597
Na 2.405 -14.552 0.000
Tl 2.405 12.159 6.220
Tl 2.405 8.931 2.642
Tl 2.405 8.820 6.125
Tl 2.405 3.701 0.272
Tl 2.405 1.524 4.988
Tl 2.405 -1.524 1.367
Tl 2.405 -3.701 3.893
Tl 2.405 -8.820 2.503
Tl 2.405 -8.931 6.263
Tl 2.405 -12.159 2.598
Au 2.405 11.842 1.948
Au 2.405 6.548 0.823
Au 2.405 1.258 2.065
Au 2.405 -1.258 5.687
Au 2.405 -6.548 4.445
Au 2.405 -11.842 5.569



Record 11
! KSO2F (PBE, optimized geometry); values from VASP
! SG: P4/mmm, No. 123
! Raw formation energy in meV per atom: -888
&SYSTEM
  ibrav = 0, nat = 5, ntyp = 4
/
ATOMIC_SPECIES
K 39.10 K.upf
S 32.06 S.upf
O 16.00 O.upf
F 19.00 F.upf
CELL_PARAMETERS angstrom
3.470 0.000 0.000
0.000 3.470 0.000
0.000 0.000 6.301
ATOMIC_POSITIONS angstrom
K 0.000 0.000 0.000
S 0.000 0.000 3.151
O 0.000 1.735 3.151
O 1.735 0.000 3.151
F 1.735 1.735 0.000



Record 12
! Ac12Ni5Te3 (PBE, optimized geometry); values from VASP
! SG: Ia-3d, No. 230
! Raw formation energy in meV per atom: -319
&SYSTEM
  ibrav = 0, nat = 80, ntyp = 3
/
ATOMIC_SPECIES
Ac 227.00 Ac.upf
Ni 58.69 Ni.upf
Te 127.60 Te.upf
CELL_PARAMETERS angstrom
-9.092 9.092 9.092
9.092 -9.092 9.092
9.092 9.092 -9.092
ATOMIC_POSITIONS angstrom
Ac 2.686 -0.540 1.027
Ac 10.952 5.573 -5.086
Ac 11.778 0.540 1.027
Ac 10.952 -3.519 5.086
Ac 8.552 -1.027 2.686
Ac 14.178 -1.860 3.519
Ac 1.027 2.686 -0.540
Ac 12.611 4.006 -1.860
Ac 5.573 5.086 -1.860
Ac 8.065 2.686 0.540
Ac -0.540 1.027 2.686
Ac 5.086 -1.860 5.573
Ac 8.552 8.065 -2.686
Ac 5.086 1.860 3.519
Ac 5.573 -5.086 10.952
Ac 8.065 -2.686 8.552
Ac 3.519 5.086 1.860
Ac 10.119 6.406 0.540
Ac 5.086 10.952 -3.519
Ac 8.552 1.027 6.406
Ac 2.686 8.552 -1.027
Ac 10.952 3.519 4.006
Ac 1.860 3.519 5.086
Ac 2.686 0.540 8.065
Ac 6.406 8.552 1.027
Ac 7.232 5.573 4.006
Ac -1.860 5.573 5.086
Ac 6.406 0.540 10.119
Ac 0.540 8.065 2.686
Ac 4.006 -1.860 12.611
Ac -1.027 2.686 8.552
Ac 5.573 4.006 7.232
Ac 1.027 11.778 0.540
Ac 3.519 14.178 -1.860
Ac 4.006 7.232 5.573
Ac 0.540 1.027 11.778
Ac 4.006 10.952 3.519
Ac 9.632 8.065 6.406
Ac 1.027 6.406 8.552
Ac 3.519 4.006 10.952
Ac -3.519 5.086 10.952
Ac 8.065 6.406 9.632
Ac -5.086 10.952 5.573
Ac 0.540 10.119 6.406
Ac -1.860 12.611 4.006
Ac -2.686 8.552 8.065
Ac -1.860 3.519 14.178
Ac 6.406 9.632 8.065
Ni 0.000 0.000 0.000
Ni 4.546 4.546 -4.546
Ni 4.546 -4.546 4.546
Ni 9.092 0.000 0.000
Ni 13.638 2.273 0.000
Ni 9.092 -4.546 6.819
Ni 6.819 9.092 -4.546
Ni 6.819 0.000 4.546
Ni 4.546 6.819 0.000
Ni 9.092 4.546 2.273
Ni -4.546 4.546 4.546
Ni 0.000 9.092 0.000
Ni 0.000 0.000 9.092
Ni 4.546 4.546 4.546
Ni 0.000 4.546 6.819
Ni 4.546 2.273 9.092
Ni 2.273 9.092 4.546
Ni 2.273 0.000 13.638
Ni 0.000 13.638 2.273
Ni -4.546 6.819 9.092
Te 4.546 2.273 0.000
Te 9.092 4.546 -2.273
Te 2.273 0.000 4.546
Te 11.365 0.000 4.546
Te 0.000 4.546 2.273
Te 4.546 -2.273 9.092
Te 4.546 11.365 0.000
Te 9.092 4.546 6.819
Te -2.273 9.092 4.546
Te 6.819 9.092 4.546
Te 0.000 4.546 11.365
Te 4.546 6.819 9.092